Record 1
## Tb4Y3Er4 (PBE)

Data for Tb4Y3Er4 after structural relaxation.

Cell and atoms, written as CIF:
```
data_Tb4Y3Er4
_symmetry_space_group_name_H-M 'P 1'
_symmetry_Int_Tables_number 1
_cell_length_a 19.747
_cell_length_b 19.747
_cell_length_c 19.747
_cell_angle_alpha 169.71
_cell_angle_beta 165.42
_cell_angle_gamma 17.88
loop_
_symmetry_equiv_pos_as_xyz
'x,y,z'
loop_
_atom_site_label
_atom_site_fract_x
_atom_site_fract_y
_atom_site_fract_z
_atom_site_occupancy
Tb1 0.046 0.046 0.000 1
Tb2 0.317 0.317 0.000 1
Tb3 0.683 0.683 0.000 1
Tb4 0.954 0.954 0.000 1
Y1 0.137 0.137 0.000 1
Y2 0.500 0.500 0.000 1
Y3 0.863 0.863 0.000 1
Er1 0.228 0.228 0.000 1
Er2 0.409 0.409 0.000 1
Er3 0.591 0.591 0.000 1
Er4 0.772 0.772 0.000 1
```

formation enthalpy at 0 K	21	meV/atom
E above lowest polymorph	0	meV/atom
symmetry	Immm, No. 71
DOS at the Fermi energy	13.49	states/eV/cell


Record 2
## Tb3YEr7 (PBE)

Data for Tb3YEr7 after structural relaxation.

Cell and atoms, written as CIF:
```
data_Tb3YEr7
_symmetry_space_group_name_H-M 'P 1'
_symmetry_Int_Tables_number 1
_cell_length_a 8.359
_cell_length_b 8.359
_cell_length_c 8.359
_cell_angle_alpha 139.77
_cell_angle_beta 96.88
_cell_angle_gamma 96.70
loop_
_symmetry_equiv_pos_as_xyz
'x,y,z'
loop_
_atom_site_label
_atom_site_fract_x
_atom_site_fract_y
_atom_site_fract_z
_atom_site_occupancy
Tb1 0.000 0.000 0.000 1
Tb2 0.209 0.500 0.709 1
Tb3 0.791 0.500 0.291 1
Y1 0.500 0.000 0.500 1
Er1 0.011 0.206 0.805 1
Er2 0.206 0.706 0.500 1
Er3 0.402 0.206 0.195 1
Er4 0.500 0.500 0.000 1
Er5 0.598 0.794 0.805 1
Er6 0.794 0.294 0.500 1
Er7 0.989 0.794 0.195 1
```

formation enthalpy at 0 K	276	meV/atom
E above lowest polymorph	122	meV/atom
symmetry	Immm, No. 71
DOS at the Fermi energy	15.09	states/eV/cell


Record 3
## Tb2Y2Er5 (PBE)

Data for Tb2Y2Er5 after structural relaxation.

Cell and atoms, written as CIF:
```
data_Tb2Y2Er5
_symmetry_space_group_name_H-M 'P 1'
_symmetry_Int_Tables_number 1
_cell_length_a 10.009
_cell_length_b 10.009
_cell_length_c 10.009
_cell_angle_alpha 84.39
_cell_angle_beta 108.68
_cell_angle_gamma 141.03
loop_
_symmetry_equiv_pos_as_xyz
'x,y,z'
loop_
_atom_site_label
_atom_site_fract_x
_atom_site_fract_y
_atom_site_fract_z
_atom_site_occupancy
Tb1 0.000 0.000 0.000 1
Tb2 0.000 0.500 0.500 1
Tb3 0.087 0.851 0.737 1
Tb4 0.114 0.351 0.263 1
Y1 0.543 0.676 0.120 1
Y2 0.543 0.923 0.367 1
Y3 0.555 0.176 0.633 1
Y4 0.555 0.423 0.880 1
Er1 0.122 0.027 0.380 1
Er2 0.122 0.242 0.595 1
Er3 0.138 0.643 0.995 1
Er4 0.444 0.149 0.190 1
Er5 0.444 0.754 0.795 1
Er6 0.647 0.527 0.405 1
Er7 0.647 0.742 0.620 1
Er8 0.648 0.143 0.005 1
Er9 0.959 0.254 0.810 1
Er10 0.959 0.649 0.205 1
```

formation enthalpy at 0 K	219	meV/atom
E above lowest polymorph	97	meV/atom
symmetry	Ima2, No. 46
DOS at the Fermi energy	30.91	states/eV/cell


Record 4
## TbYEr2 (PBE)

Data for TbYEr2 after structural relaxation.

Cell and atoms, written as CIF:
```
data_TbYEr2
_symmetry_space_group_name_H-M 'P 1'
_symmetry_Int_Tables_number 1
_cell_length_a 6.747
_cell_length_b 5.496
_cell_length_c 7.035
_cell_angle_alpha 90.00
_cell_angle_beta 104.92
_cell_angle_gamma 90.00
loop_
_symmetry_equiv_pos_as_xyz
'x,y,z'
loop_
_atom_site_label
_atom_site_fract_x
_atom_site_fract_y
_atom_site_fract_z
_atom_site_occupancy
Tb1 0.000 0.000 0.000 1
Tb2 0.003 0.000 0.500 1
Y1 0.264 0.500 0.065 1
Y2 0.780 0.500 0.695 1
Er1 0.260 0.500 0.563 1
Er2 0.477 0.000 0.867 1
Er3 0.479 0.000 0.369 1
Er4 0.787 0.500 0.197 1
```

formation enthalpy at 0 K	48	meV/atom
E above lowest polymorph	39	meV/atom
symmetry	Pm, No. 6
DOS at the Fermi energy	15.57	states/eV/cell


Record 5
## Tb2Y8Er3 (PBE)

Data for Tb2Y8Er3 after structural relaxation.

Cell and atoms, written as CIF:
```
data_Tb2Y8Er3
_symmetry_space_group_name_H-M 'P 1'
_symmetry_Int_Tables_number 1
_cell_length_a 10.851
_cell_length_b 10.851
_cell_length_c 5.616
_cell_angle_alpha 90.03
_cell_angle_beta 90.03
_cell_angle_gamma 40.96
loop_
_symmetry_equiv_pos_as_xyz
'x,y,z'
loop_
_atom_site_label
_atom_site_fract_x
_atom_site_fract_y
_atom_site_fract_z
_atom_site_occupancy
Tb1 0.241 0.241 0.499 1
Tb2 0.759 0.759 0.501 1
Y1 0.133 0.133 0.000 1
Y2 0.181 0.605 0.500 1
Y3 0.332 0.332 0.999 1
Y4 0.395 0.819 0.500 1
Y5 0.605 0.181 0.500 1
Y6 0.668 0.668 0.001 1
Y7 0.819 0.395 0.500 1
Y8 0.867 0.867 0.000 1
Er1 0.000 0.000 0.500 1
Er2 0.283 0.717 0.000 1
Er3 0.717 0.283 0.000 1
```

formation enthalpy at 0 K	241	meV/atom
symmetry	C2/m, No. 12
DOS at the Fermi energy	24.46	states/eV/cell


Record 6
## Tb5YEr12 (PBE)

Data for Tb5YEr12 after structural relaxation.

Cell and atoms, written as CIF:
```
data_Tb5YEr12
_symmetry_space_group_name_H-M 'P 1'
_symmetry_Int_Tables_number 1
_cell_length_a 10.572
_cell_length_b 10.572
_cell_length_c 6.111
_cell_angle_alpha 106.70
_cell_angle_beta 106.70
_cell_angle_gamma 59.94
loop_
_symmetry_equiv_pos_as_xyz
'x,y,z'
loop_
_atom_site_label
_atom_site_fract_x
_atom_site_fract_y
_atom_site_fract_z
_atom_site_occupancy
Tb1 0.000 0.000 0.000 1
Tb2 0.167 0.167 0.499 1
Tb3 0.333 0.333 0.999 1
Tb4 0.667 0.667 0.001 1
Tb5 0.833 0.833 0.501 1
Y1 0.500 0.500 0.500 1
Er1 0.001 0.666 0.001 1
Er2 0.166 0.500 0.500 1
Er3 0.167 0.833 0.500 1
Er4 0.333 0.667 0.000 1
Er5 0.334 0.999 0.999 1
Er6 0.500 0.166 0.500 1
Er7 0.500 0.834 0.500 1
Er8 0.666 0.001 0.001 1
Er9 0.667 0.333 0.000 1
Er10 0.833 0.167 0.500 1
Er11 0.834 0.500 0.500 1
Er12 0.999 0.334 0.999 1
```

formation enthalpy at 0 K	22	meV/atom
symmetry	C2/m, No. 12
DOS at the Fermi energy	23.95	states/eV/cell


Record 7
## Tb4YEr6 (PBE)

Data for Tb4YEr6 after structural relaxation.

Cell and atoms, written as CIF:
```
data_Tb4YEr6
_symmetry_space_group_name_H-M 'P 1'
_symmetry_Int_Tables_number 1
_cell_length_a 5.570
_cell_length_b 5.570
_cell_length_c 25.545
_cell_angle_alpha 90.00
_cell_angle_beta 90.00
_cell_angle_gamma 119.18
loop_
_symmetry_equiv_pos_as_xyz
'x,y,z'
loop_
_atom_site_label
_atom_site_fract_x
_atom_site_fract_y
_atom_site_fract_z
_atom_site_occupancy
Tb1 0.017 0.983 0.622 1
Tb2 0.017 0.983 0.878 1
Tb3 0.339 0.661 0.543 1
Tb4 0.339 0.661 0.957 1
Tb5 0.661 0.339 0.043 1
Tb6 0.661 0.339 0.457 1
Tb7 0.983 0.017 0.122 1
Tb8 0.983 0.017 0.378 1
Y1 0.320 0.680 0.250 1
Y2 0.680 0.320 0.750 1
Er1 0.000 0.000 0.000 1
Er2 0.000 0.000 0.500 1
Er3 0.014 0.986 0.750 1
Er4 0.319 0.681 0.104 1
Er5 0.319 0.681 0.396 1
Er6 0.348 0.652 0.682 1
Er7 0.348 0.652 0.818 1
Er8 0.652 0.348 0.182 1
Er9 0.652 0.348 0.318 1
Er10 0.681 0.319 0.604 1
Er11 0.681 0.319 0.896 1
Er12 0.986 0.014 0.250 1
```

formation enthalpy at 0 K	125	meV/atom
E above lowest polymorph	0	meV/atom
symmetry	Cmcm, No. 63
DOS at the Fermi energy	38.65	states/eV/cell


Record 8
## TbY2Er (PBE)

Data for TbY2Er after structural relaxation.

Cell and atoms, written as CIF:
```
data_TbY2Er
_symmetry_space_group_name_H-M 'P 1'
_symmetry_Int_Tables_number 1
_cell_length_a 3.552
_cell_length_b 3.552
_cell_length_c 10.055
_cell_angle_alpha 90.00
_cell_angle_beta 90.00
_cell_angle_gamma 90.00
loop_
_symmetry_equiv_pos_as_xyz
'x,y,z'
loop_
_atom_site_label
_atom_site_fract_x
_atom_site_fract_y
_atom_site_fract_z
_atom_site_occupancy
Tb1 0.000 0.000 0.000 1
Y1 0.500 0.500 0.252 1
Y2 0.500 0.500 0.748 1
Er1 0.000 0.000 0.500 1
```

formation enthalpy at 0 K	24	meV/atom
E above lowest polymorph	20	meV/atom
symmetry	P4/mmm, No. 123
DOS at the Fermi energy	5.27	states/eV/cell